No. 1
Y2TiCr (PBE, relaxed); E = -6.98 eV/atom; ΔE_f = 2.5 eV per formula unit; crystal system = cubic
1.0
0.0000 3.5247 3.5247
3.5247 0.0000 3.5247
3.5247 3.5247 0.0000
Y Ti Cr
2 1 1
direct
0.2500 0.2500 0.2500
0.7500 0.7500 0.7500
0.0000 0.0000 0.0000
0.5000 0.5000 0.5000

***

No. 2
La4DyHg2 (PBE, relaxed); E = -3.62 eV/atom; ΔE_f = -0.4 eV per formula unit; crystal system = trigonal
1.0
5.6593 0.0000 0.0000
2.8296 4.9011 0.0000
2.8296 1.6337 8.9267
La Hg Dy
4 2 1
direct
0.7296 0.7296 0.8111
0.8704 0.8704 0.3887
0.1296 0.1296 0.6113
0.2704 0.2704 0.1889
0.3891 0.3891 0.8328
0.6109 0.6109 0.1672
0.5000 0.5000 0.5000